(1)
This record from the Alexandria database describes a geometry-optimized Ir2OsPt structure. The functional is PBE.

The total energy is -129.55 eV/cell. The volume is 265.6 Å³ per cell.

Cell: 6.9976 6.9976 5.4243 Å, 90.00 90.00 90.00°
Space group I-42d (No. 122)
One atom of each set of equivalent atoms:
Ir  0.2236  0.2500  0.1250 (multiplicity 8)
Os  0.0000  0.0000  0.0000 (multiplicity 4)
Pt  0.0000  0.0000  0.5000 (multiplicity 4)

***

(2)
This record from the Alexandria database describes a geometry-optimized IrOsPt2 structure. The functional is PBE.

The total energy is -63.77 eV/cell. The volume is 119.9 Å³ per cell.

Cell: 9.1751 2.7609 4.8021 Å, 90.00 99.70 90.00°
Space group Cm (No. 8)
One atom of each set of equivalent atoms:
Ir  0.0000  0.0000  0.0000 (multiplicity 2)
Os  0.2589  0.0000  0.7768 (multiplicity 2)
Pt  0.0089  0.5000  0.5170 (multiplicity 2)
Pt  0.2534  0.5000  0.2655 (multiplicity 2)

***

(3)
This record from the Alexandria database describes a geometry-optimized Ir2OsPt structure. The functional is PBE.

The total energy is -69.06 eV/cell. The volume is 117.8 Å³ per cell.

Cell: 5.5021 7.7615 2.7585 Å, 90.00 90.00 90.00°
Space group Cmmm (No. 65)
One atom of each set of equivalent atoms:
Ir  0.2500  0.2500  0.0000 (multiplicity 4)
Os  0.0000  0.0000  0.5000 (multiplicity 2)
Pt  0.0000  0.5000  0.5000 (multiplicity 2)

***

(4)
This record from the Alexandria database describes a geometry-optimized Ir2OsPt structure. The functional is PBE.

The total energy is -69.47 eV/cell. The volume is 117.8 Å³ per cell.

Cell: 9.1514 2.7396 4.7662 Å, 90.00 99.65 90.00°
Space group C2/m (No. 12)
One atom of each set of equivalent atoms:
Ir  0.2456  0.0000  0.2414 (multiplicity 4)
Os  0.0000  0.5000  0.0000 (multiplicity 2)
Pt  0.0000  0.0000  0.5000 (multiplicity 2)

***

(5)
This record from the Alexandria database describes a geometry-optimized Ir3OsPt structure. The functional is PBE.

The total energy is -169.31 eV/cell. The volume is 331.5 Å³ per cell.

Cell: 5.4267 8.1016 7.5411 Å, 90.00 90.22 90.00°
Space group P2_1/c (No. 14)
One atom of each set of equivalent atoms:
Ir  0.0969  0.0869  0.3772 (multiplicity 4)
Ir  0.1319  0.0821  0.8716 (multiplicity 4)
Ir  0.3686  0.5930  0.6296 (multiplicity 4)
Os  0.1256  0.7493  0.8762 (multiplicity 4)
Pt  0.3896  0.2493  0.6265 (multiplicity 4)

***

(6)
This record from the Alexandria database describes a geometry-optimized IrOsPt2 structure. The functional is PBE.

The total energy is -120.71 eV/cell. The volume is 248.1 Å³ per cell.

Cell: 6.2838 6.2838 6.2838 Å, 90.00 90.00 90.00°
Space group F-43m (No. 216)
One atom of each set of equivalent atoms:
Ir  0.0000  0.0000  0.0000 (multiplicity 4)
Os  0.2500  0.2500  0.2500 (multiplicity 4)
Pt  0.0000  0.0000  0.5000 (multiplicity 4)
Pt  0.2500  0.2500  0.7500 (multiplicity 4)

***

(7)
This record from the Alexandria database describes a geometry-optimized Ir2OsPt structure. The functional is PBE.

The total energy is -34.71 eV/cell. The volume is 58.9 Å³ per cell.

Cell: 2.7442 2.7442 7.8268 Å, 90.00 90.00 90.00°
Space group P4mm (No. 99)
One atom of each set of equivalent atoms:
Ir  0.0000  0.0000  0.0000 (multiplicity 1)
Ir  0.5000  0.5000  0.2494 (multiplicity 1)
Os  0.0000  0.0000  0.4860 (multiplicity 1)
Pt  0.5000  0.5000  0.7404 (multiplicity 1)

***

(8)
This record from the Alexandria database describes a geometry-optimized Ir2OsPt structure. The functional is PBE.

The total energy is -35.04 eV/cell. The volume is 59.0 Å³ per cell.

Cell: 2.7430 2.7430 7.8449 Å, 90.00 90.00 90.00°
Space group P4/mmm (No. 123)
One atom of each set of equivalent atoms:
Ir  0.0000  0.0000  0.2375 (multiplicity 2)
Os  0.5000  0.5000  0.0000 (multiplicity 1)
Pt  0.5000  0.5000  0.5000 (multiplicity 1)

***

(9)
This record from the Alexandria database describes a geometry-optimized IrOsPt2 structure. The functional is PBE.

The total energy is -31.61 eV/cell. The volume is 60.0 Å³ per cell.

Cell: 4.7840 2.7653 4.8178 Å, 90.00 109.84 90.00°
Space group P2/m (No. 10)
One atom of each set of equivalent atoms:
Ir  0.0000  0.0000  0.0000 (multiplicity 1)
Os  0.0000  0.5000  0.5000 (multiplicity 1)
Pt  0.5000  0.0000  0.5000 (multiplicity 1)
Pt  0.5000  0.5000  0.0000 (multiplicity 1)

***

(10)
This record from the Alexandria database describes a geometry-optimized Ir2OsPt structure. The functional is PBE.

The total energy is -69.12 eV/cell. The volume is 117.6 Å³ per cell.

Cell: 3.8747 3.8747 7.8357 Å, 90.00 90.00 90.00°
Space group I-4m2 (No. 119)
One atom of each set of equivalent atoms:
Ir  0.0000  0.0000  0.0000 (multiplicity 2)
Ir  0.0000  0.5000  0.2500 (multiplicity 2)
Os  0.0000  0.5000  0.7500 (multiplicity 2)
Pt  0.0000  0.0000  0.5000 (multiplicity 2)

***

(11)
This record from the Alexandria database describes a geometry-optimized IrOsPt2 structure. The functional is PBE.

The total energy is -95.02 eV/cell. The volume is 179.9 Å³ per cell.

Cell: 2.7666 2.7666 27.1385 Å, 90.00 90.00 120.00°
Space group R-3m (No. 166, hexagonal axes)
One atom of each set of equivalent atoms:
Ir  0.0000  0.0000  0.0000 (multiplicity 3)
Os  0.0000  0.0000  0.5000 (multiplicity 3)
Pt  0.0000  0.0000  0.2489 (multiplicity 6)

***

(12)
This record from the Alexandria database describes a geometry-optimized Ir2OsPt structure. The functional is PBE.

The total energy is -67.66 eV/cell. The volume is 128.5 Å³ per cell.

Cell: 2.7083 4.3166 10.9899 Å, 90.00 90.00 90.00°
Space group Imm2 (No. 44)
One atom of each set of equivalent atoms:
Ir  0.0000  0.0000  0.0000 (multiplicity 2)
Ir  0.0000  0.5000  0.2692 (multiplicity 2)
Os  0.0000  0.5000  0.6955 (multiplicity 2)
Pt  0.0000  0.0000  0.4258 (multiplicity 2)